Below is Zr3TiBi after structural relaxation, with properties calculated at the PBE level.

Cell lengths 3.368, 7.348, 9.829 Å; angles 100.68, 99.70, 100.26 degrees
Space group P1 (No. 1)
Asymmetric unit:
Zr 0.000 0.000 0.000 x1
Zr 0.040 0.663 0.424 x1
Zr 0.193 0.586 0.940 x1
Zr 0.261 0.239 0.372 x1
Zr 0.451 0.199 0.787 x1
Zr 0.570 0.755 0.719 x1
Ti 0.775 0.021 0.545 x1
Ti 0.928 0.414 0.625 x1
Bi 0.545 0.878 0.233 x1
Bi 0.704 0.360 0.127 x1

Results
The spin magnetization is 0.00 μB per atom. The energy of formation from the pure elements is -0.068 eV per atom.